[1]
## KEu2Ag (PBE)

Data for a geometry-optimized KEu2Ag structure.

Structure (extended XYZ):
```
4
Lattice="-3.0462 -3.1200 -0.1283 -0.7918 -2.4222 3.5406 -9.4607 5.9952 4.6731" Properties=species:S:1:pos:R:3 pbc="T T T"
K 0.0000 0.0000 0.0000
Eu -6.6851 -2.8130 4.6427
Eu -6.6136 3.2661 3.4427
Ag -6.6494 0.2265 4.0427
```

- calculated density (g cm⁻³) = 3.83
- crystal system = trigonal
- formation energy from the elements (kcal/mol of atoms) = 0.63

[2]
## BePt2 (PBE)

Data for a geometry-optimized BePt2 structure.

Structure (extended XYZ):
```
6
Lattice="2.0715 -3.5879 0.0000 2.0715 3.5879 0.0000 0.0000 0.0000 5.4280" Properties=species:S:1:pos:R:3 pbc="T T T"
Be 2.0715 1.1960 1.3570
Pt 0.0000 0.0000 0.0000
Pt 2.0715 -1.1960 1.3570
Pt 0.0000 0.0000 2.7140
Pt 2.0715 1.1960 4.0710
Be 2.0715 -1.1960 4.0710
```

- calculated density (g cm⁻³) = 16.43
- crystal system = hexagonal
- formation energy from the elements (kcal/mol of atoms) = -8.87

[3]
## ErPa3Ir4 (PBE)

Data for a geometry-optimized ErPa3Ir4 structure.

Structure (extended XYZ):
```
8
Lattice="3.5387 -0.3289 -1.2450 -1.2358 7.0421 0.5504 -3.2227 -1.5375 8.1224" Properties=species:S:1:pos:R:3 pbc="T T T"
Pa -1.7543 2.6103 4.2670
Ir -1.4098 0.1902 5.8513
Er -2.5393 1.9804 7.8491
Ir -0.7024 1.5569 1.8521
Ir -2.9206 4.3097 6.1817
Ir -0.3446 4.6090 2.2289
Pa -0.3169 -0.7704 3.5143
Pa -0.7706 6.8815 0.4559
```

- calculated density (g cm⁻³) = 15.72
- crystal system = monoclinic
- formation energy from the elements (kcal/mol of atoms) = -21.65

[4]
## TmTaCo4 (PBE)

Data for a geometry-optimized TmTaCo4 structure.

Structure (extended XYZ):
```
6
Lattice="-1.9028 -2.4057 3.7861 -3.0189 -3.7479 -0.7632 1.4603 -4.5437 0.9823" Properties=species:S:1:pos:R:3 pbc="T T T"
Co -2.1634 -6.6858 2.5033
Tm 0.0000 0.0000 0.0000
Co -2.8935 -4.4140 2.0121
Co -0.6540 -4.8119 2.8848
Ta -0.8653 -2.6743 1.0013
Co -1.2120 -5.4830 0.6103
```

- calculated density (g cm⁻³) = 11.89
- crystal system = cubic
- formation energy from the elements (kcal/mol of atoms) = -3.49

[5]
## Ac4TmCd (PBE)

Data for a geometry-optimized Ac4TmCd structure.

Structure (extended XYZ):
```
6
Lattice="-2.5674 -2.9723 -0.5278 2.3165 -1.4955 -2.8464 7.2218 -8.0312 10.0968" Properties=species:S:1:pos:R:3 pbc="T T T"
Ac 4.6572 -5.1792 6.5112
Tm 0.0000 0.0000 0.0000
Ac 5.9038 -8.9390 6.7425
Ac 1.0670 -3.5600 -0.0199
Cd 3.4854 -6.2495 3.3613
Ac 2.5646 -2.8520 3.5856
```

- calculated density (g cm⁻³) = 8.51
- crystal system = tetragonal
- formation energy from the elements (kcal/mol of atoms) = -1.49

[6]
## Pm4Zn3Hg (PBE)

Data for a geometry-optimized Pm4Zn3Hg structure.

Structure (extended XYZ):
```
8
Lattice="3.6879 0.0000 0.0000 0.0000 3.6879 0.0000 0.0000 0.0000 14.8701" Properties=species:S:1:pos:R:3 pbc="T T T"
Zn 1.8440 1.8440 3.8334
Zn 1.8440 1.8440 7.4351
Hg 1.8440 1.8440 0.0000
Zn 1.8440 1.8440 11.0367
Pm 0.0000 0.0000 12.8255
Pm 0.0000 0.0000 5.6107
Pm 0.0000 0.0000 2.0446
Pm 0.0000 0.0000 9.2595
```

- calculated density (g cm⁻³) = 8.02
- crystal system = tetragonal
- formation energy from the elements (kcal/mol of atoms) = -8.20

[7]
## CaPrH6Pt2 (PBE)

Data for a geometry-optimized CaPrH6Pt2 structure.

Structure (extended XYZ):
```
20
Lattice="-4.5863 1.6115 -3.7833 4.8413 -0.7398 -3.7362 -1.6496 -6.5790 1.7499" Properties=species:S:1:pos:R:3 pbc="T T T"
H -2.0717 -3.2164 -3.1823
Ca -4.3427 -3.6921 -2.4635
H -0.6140 -3.0588 -0.5886
H 0.6771 -2.4910 -2.5873
Pt -2.5218 -4.8604 -0.0456
Pr -1.0821 -1.0101 -3.3262
H -1.7136 -6.2798 0.2850
H 1.1733 -0.5305 -4.0451
Pt 0.7692 -2.1859 -0.9082
H 1.5324 -4.1104 -3.9932
H 0.3190 0.5724 -6.0546
Pt -2.1638 -3.5214 -4.8614
H -2.9270 -1.5970 -1.7764
H -0.7807 -2.6486 -5.1810
Pr -0.3126 -4.6973 -2.4433
Ca 2.9481 -2.0153 -3.3061
Pt 1.1272 -0.8470 -5.7240
H -2.4207 0.3708 -4.8920
H -2.5679 -5.1768 -1.7245
H 1.0261 -6.0781 -0.8776
```

- calculated density (g cm⁻³) = 7.98
- DFT total energy (eV/atom) = -4.45
- crystal system = monoclinic

[8]
## NdMgNi5 (PBE)

Data for a geometry-optimized NdMgNi5 structure.

Structure (extended XYZ):
```
28
Lattice="-1.7385 0.2210 4.5511 -6.1138 -4.9398 -2.0954 5.7237 -8.1798 2.5836" Properties=species:S:1:pos:R:3 pbc="T T T"
Ni 1.1707 -9.4429 0.9108
Ni -5.6350 -5.5482 -0.5765
Nd -1.8009 -8.2044 1.0170
Ni 0.3048 -9.3329 3.1776
Nd 3.4442 -8.8617 3.0525
Mg -1.3466 -1.6609 3.4858
Ni -3.9087 -2.9550 -0.0430
Nd -5.5727 -4.0369 1.9868
Ni -3.2569 -5.3194 0.3207
Nd -0.3277 -4.6942 4.0223
Ni -2.0240 -9.9127 3.6277
Ni 1.7801 -9.9436 5.0823
Mg -3.1438 -5.9310 3.0066
Ni 2.6581 -5.8574 3.9077
Ni 3.5065 -7.3505 5.6158
Ni 3.5239 -5.9675 1.6410
Ni -2.4334 -3.5658 1.8617
Ni -5.6525 -6.9312 3.3983
Ni -1.1592 -7.5212 3.8419
Ni -0.9693 -5.3774 1.1974
Ni 1.1283 -7.5793 4.7186
Mg 1.0153 -6.9677 2.0327
Ni -3.9569 -8.5833 2.8249
Ni 1.8283 -4.3153 2.2144
Ni -0.1045 -2.9860 1.4116
Ni -4.7866 -7.0413 1.1316
Ni -3.2992 -3.4557 4.1285
Mg -0.7820 -11.2377 1.5535
```

- calculated density (g cm⁻³) = 7.50
- crystal system = orthorhombic
- formation energy from the elements (kcal/mol of atoms) = -5.97

[9]
## CsPuSc2Cl8 (PBE)

Data for a geometry-optimized CsPuSc2Cl8 structure.

Structure (extended XYZ):
```
12
Lattice="6.8501 0.0000 0.0000 3.4251 5.9324 0.0000 3.4251 1.9775 9.7982" Properties=species:S:1:pos:R:3 pbc="T T T"
Sc 3.4251 1.9775 2.2298
Cl 4.6704 3.9306 8.1770
Cl 5.7392 5.8304 1.6213
Cl 7.9189 5.8548 8.1770
Cl 10.2752 5.9324 5.2000
Cl 9.0299 3.9793 1.6213
Sc 10.2752 5.9324 7.5684
Cl 7.9611 2.0794 8.1770
Cl 3.4251 1.9775 4.5983
Pu 0.0000 0.0000 0.0000
Cl 5.7814 2.0551 1.6213
Cs 6.8501 3.9549 4.8991
```

- calculated density (g cm⁻³) = 3.13
- crystal system = trigonal
- ΔE_f (raw) (eV per atom) = -1.87

[10]
## Er6ZnCd2 (PBE)

Data for a geometry-optimized Er6ZnCd2 structure.

Structure (extended XYZ):
```
18
Lattice="6.2076 0.0000 0.8393 0.0000 9.1195 0.0000 0.5159 0.0000 8.8648" Properties=species:S:1:pos:R:3 pbc="T T T"
Er 3.9811 1.7270 5.4532
Zn 3.1038 4.5597 0.4197
Er 2.4572 7.5581 0.6296
Er 2.7164 4.8806 6.5418
Cd 4.2570 8.1898 6.9538
Cd 0.8952 5.4895 2.1017
Er 4.2663 1.5614 9.0745
Er 5.5623 8.7986 2.5291
Er 6.1042 6.2867 9.1029
Er 5.8190 6.1211 5.4817
Cd 5.8283 3.6300 7.6024
Er 0.6194 2.8328 0.6012
Er 1.1612 0.3209 7.1750
Er 2.7424 7.3925 4.2509
Zn 0.2580 0.0000 4.4324
Er 4.0071 4.2389 3.1623
Er 0.9045 2.9983 4.2225
Cd 2.4666 0.9297 2.7504
```

- calculated density (g cm⁻³) = 8.63
- crystal system = monoclinic
- formation energy from the elements (kcal/mol of atoms) = -1.88

[11]
## NiIrW2 (PBE)

Data for a geometry-optimized NiIrW2 structure.

Structure (extended XYZ):
```
4
Lattice="-1.8582 -6.6792 -5.8862 -1.1678 -8.2242 -3.7028 -3.7494 -7.2764 -3.9633" Properties=species:S:1:pos:R:3 pbc="T T T"
Ir -3.3754 -11.0494 -6.7515
W -1.6649 -5.4499 -3.3300
W -0.0389 -0.1274 -0.0778
Ni -5.0841 -16.6428 -10.1692
```

- calculated density (g cm⁻³) = 17.36
- crystal system = trigonal
- formation energy from the elements (kcal/mol of atoms) = 2.83

[12]
## TaGa3 (PBE)

Data for a geometry-optimized TaGa3 structure.

Structure (extended XYZ):
```
4
Lattice="-4.8164 0.1950 1.8002 -1.6474 -4.1205 2.6046 4.1375 3.0573 0.1020" Properties=species:S:1:pos:R:3 pbc="T T T"
Ta 0.0000 0.0000 0.0000
Ga -3.2319 -1.9628 2.2024
Ga -1.9554 0.6448 2.0523
Ga -0.3709 -1.5130 2.4545
```

- calculated density (g cm⁻³) = 10.10
- crystal system = tetragonal
- formation energy from the elements (kcal/mol of atoms) = -3.92